# Pm6Y

A relaxed Pm6Y crystal (PBE-GGA, Alexandria).

crystal system: cubic
D(E_F): 5.58 states/eV per cell
formation energy: 851 kJ/mol of formula units
E: -26.15 eV per cell

Unit cell a=7.0358 b=7.0358 c=7.0358 alpha=109.47 beta=109.47 gamma=109.47
Fractional positions:
1 Pm 0.2500 0.5000 0.7500
2 Pm 0.2500 0.7500 0.5000
3 Pm 0.5000 0.2500 0.7500
4 Pm 0.5000 0.7500 0.2500
5 Pm 0.7500 0.2500 0.5000
6 Pm 0.7500 0.5000 0.2500
7 Y 0.0000 0.0000 0.0000